## Zn7As (PBE)

Data for an optimized crystal structure of Zn7As.

Cell: 7.9607 7.9607 7.9607 Å, 90.00 90.00 90.00°
With the nearest neighbours (Å) after each atom.
Space group Fm-3m (No. 225)
One atom of each set of equivalent atoms:
Zn 0.0000 0.0000 0.0000  12 Zn 2.81
Zn 0.0000 0.2500 0.2500  10 Zn 2.81, 2 As 2.81
As 0.0000 0.0000 0.5000  12 Zn 2.81

Properties
Calculated density in g cm⁻³: 7.01
ΔH_f (0 K) in meV per atom: 90.6



## ZnAs3 (PBE)

Data for an optimized crystal structure of ZnAs3.

Cell: 5.3147 5.3147 5.3147 Å, 90.00 90.00 90.00°
With the nearest neighbours (Å) after each atom.
Space group Pm-3n (No. 223)
One atom of each set of equivalent atoms:
Zn 0.0000 0.0000 0.0000  12 As 2.97
As 0.0000 0.2500 0.5000  2 As 2.66, 4 Zn 2.97

Properties
Calculated density in g cm⁻³: 6.42
ΔH_f (0 K) in meV per atom: 458.7



## ZnAs (PBE)

Data for an optimized crystal structure of ZnAs.

Cell: 6.6111 6.6111 6.6111 Å, 90.00 90.00 90.00°
With the nearest neighbours (Å) after each atom.
Space group Fd-3m (No. 227, origin choice 2)
One atom of each set of equivalent atoms:
Zn 0.1250 0.1250 0.1250  4 Zn 2.86, 4 As 2.86
As 0.1250 0.1250 0.6250  4 As 2.86, 4 Zn 2.86

Properties
Calculated density in g cm⁻³: 6.45
ΔH_f (0 K) in meV per atom: 325.4



## ZnAs4 (PBE)

Data for an optimized crystal structure of ZnAs4.

Cell: 5.9946 5.9946 5.9946 Å, 90.00 90.00 90.00°
With the nearest neighbours (Å) after each atom.
Space group Im-3m (No. 229)
One atom of each set of equivalent atoms:
Zn 0.0000 0.0000 0.0000  8 As 2.60
As 0.2500 0.2500 0.2500  2 Zn 2.60

Properties
Calculated density in g cm⁻³: 5.63
ΔH_f (0 K) in meV per atom: 356.2



## ZnAs5 (PBE)

Data for an optimized crystal structure of ZnAs5.

Cell: 12.2212 3.5624 8.7390 Å, 90.00 131.22 90.00°
With the nearest neighbours (Å) after each atom.
Space group Cm (No. 8)
One atom of each set of equivalent atoms:
Zn 0.0000 0.0000 0.0000  4 As 2.46-2.70
As 0.1501 0.0000 0.7809  3 As 2.50-2.51
As 0.1851 0.5000 0.3999  4 As 2.61-2.68
As 0.2661 0.0000 0.2742  1 Zn 2.46, 2 As 2.61
As 0.3066 0.5000 0.0391  2 As 2.50, 1 Zn 2.60
As 0.3144 0.0000 0.7036  3 As 2.51-2.68, 2 Zn 2.70

Properties
Calculated density in g cm⁻³: 5.11
ΔH_f (0 K) in meV per atom: 135.1



## ZnAs3 (PBE)

Data for an optimized crystal structure of ZnAs3.

Cell: 5.6011 9.8204 2.7527 Å, 90.00 90.00 90.00°
With the nearest neighbours (Å) after each atom.
Space group Cmmm (No. 65)
One atom of each set of equivalent atoms:
Zn 0.0000 0.0000 0.0000  2 Zn 2.75, 2 As 2.80
As 0.0000 0.5000 0.0000  2 As 2.75, 2 Zn 2.80
As 0.2500 0.2500 0.5000  4 As 2.75-2.80

Properties
Calculated density in g cm⁻³: 6.36
ΔH_f (0 K) in meV per atom: 362.2